This record from Alexandria describes crystalline YTh2Hg at its relaxed geometry. The functional is PBE.

abc: 3.4115 3.4115 36.5649
angles: 90.00 90.00 120.00
Closest atoms and distances in Å follow each position.
Space group R-3m (No. 166, hexagonal axes)
Unique sites:
Y 0.0000 0.0000 0.0000  2 Th 3.37, 6 Y 3.41
Th 0.0000 0.0000 0.0922  3 Hg 3.36, 1 Y 3.37, 6 Th 3.41
Hg 0.0000 0.0000 0.5000  6 Th 3.36, 6 Hg 3.41

Computed properties:
crystal system = trigonal
spin magnetization = 0.000 μB/f.u.
formation enthalpy at 0 K = 0.156 eV per atom

This record from Alexandria describes crystalline CsNaCeBr6 at its relaxed geometry. The functional is PBE.

abc: 7.6102 7.6102 15.9672
angles: 90.00 90.00 120.00
Closest atoms and distances in Å follow each position.
Space group P-31c (No. 163)
Unique sites:
Cs 0.0000 0.0000 0.0000  6 Br 3.68
Na 0.3333 0.6667 0.2500  6 Br 3.01
Ce 0.3333 0.6667 0.7500  6 Br 2.81
Br 0.0204 0.3816 0.6477  1 Ce 2.81, 1 Na 3.01

Computed properties:
crystal system = trigonal
energy relative to the elements, uncorrected = -1.6610 eV per atom
spin magnetization = 0.000 μB/f.u.

This record from Alexandria describes crystalline Li2TcNi at its relaxed geometry. The functional is PBE.

abc: 2.6075 2.6075 26.8399
angles: 90.00 90.00 120.00
Closest atoms and distances in Å follow each position.
Space group R-3m (No. 166, hexagonal axes)
Unique sites:
Li 0.0000 0.0000 0.2450  3 Ni 2.59, 6 Li 2.61, 3 Tc 2.81
Tc 0.0000 0.0000 0.0000  6 Tc 2.61, 6 Li 2.81
Ni 0.0000 0.0000 0.5000  6 Li 2.59, 6 Ni 2.61

Computed properties:
crystal system = trigonal
spin magnetization = 0.914 μB/f.u.
formation enthalpy at 0 K = 0.186 eV per atom

This record from Alexandria describes crystalline Nd3Ho2Tm8 at its relaxed geometry. The functional is PBE.

abc: 6.1296 6.1335 11.1762
angles: 89.89 79.41 80.37
Closest atoms and distances in Å follow each position.
Space group P-1 (No. 2)
Unique sites:
Nd 0.0000 0.0000 0.0000  8 Tm 3.54-3.58, 4 Nd 3.55
Nd 0.2310 0.4617 0.0793  8 Tm 3.53-3.60, 4 Nd 3.55-3.57
Ho 0.3844 0.7693 0.4625  10 Tm 3.48-3.54, 2 Ho 3.53-3.54
Tm 0.0769 0.1522 0.6887  7 Tm 3.47-3.54, 3 Ho 3.50-3.53, 2 Nd 3.55-3.57
Tm 0.1540 0.3075 0.3868  7 Tm 3.47-3.54, 4 Ho 3.52-3.54, 1 Nd 3.53
Tm 0.3080 0.6126 0.7647  2 Ho 3.48-3.50, 6 Tm 3.52-3.54, 4 Nd 3.54-3.60
Tm 0.4629 0.9249 0.1582  1 Ho 3.50, 6 Tm 3.52-3.62, 5 Nd 3.54-3.59

Computed properties:
crystal system = triclinic
spin magnetization = 0.000 μB/f.u.
formation enthalpy at 0 K = 0.027 eV per atom

This record from Alexandria describes crystalline AcLaNd4Se8 at its relaxed geometry. The functional is PBE.

abc: 8.7758 8.7758 21.7409
angles: 90.00 90.00 120.00
Closest atoms and distances in Å follow each position.
Space group R3m (No. 160, hexagonal axes)
Unique sites:
Ac 0.0000 0.0000 0.0000  4 Se 2.96
La 0.0000 0.0000 0.6245  6 Se 3.02-3.04
Nd 0.0000 0.0000 0.2515  4 Se 2.83-2.85
Nd 0.0064 0.5032 0.1267  6 Se 2.99-3.00
Se 0.0000 0.0000 0.3824  4 Nd 2.85-3.00
Se 0.0000 0.0000 0.8636  1 Ac 2.96, 3 Nd 3.00
Se 0.0306 0.5153 0.3813  1 Ac 2.96, 2 Nd 2.99, 1 La 3.02
Se 0.1746 0.3492 0.2061  3 Nd 2.83-3.00, 1 La 3.04

Computed properties:
crystal system = trigonal
energy relative to the elements, uncorrected = -1.7625 eV per atom
spin magnetization = 0.001 μB/f.u.

This record from Alexandria describes crystalline Sr2LaAu at its relaxed geometry. The functional is PBE.

abc: 8.0897 8.0897 8.0897
angles: 90.00 90.00 90.00
Closest atoms and distances in Å follow each position.
Space group Fm-3m (No. 225)
Unique sites:
Sr 0.2500 0.2500 0.2500  4 La 3.50, 4 Au 3.50
La 0.0000 0.0000 0.0000  8 Sr 3.50
Au 0.0000 0.0000 0.5000  8 Sr 3.50

Computed properties:
crystal system = cubic
spin magnetization = 0.181 μB/f.u.
formation enthalpy at 0 K = 0.061 eV per atom